# NdSnS4 PBE relaxed
# DOS(E_F): 6.0 states/eV/cell
# Magnetic moment: 0.0 μB per formula unit
# Energy relative to the elements, uncorrected: -4.6 eV/f.u.
# Calculated volume: 24.50 A^3/atom
data_NdSnS4
_cell_length_a 6.0263
_cell_length_b 6.9914
_cell_length_c 7.0274
_cell_angle_alpha 90.00
_cell_angle_beta 96.77
_cell_angle_gamma 90.00
_space_group_name_H-M_alt 'P 1 21/c 1'
_space_group_IT_number 14
loop_
_space_group_symop_operation_xyz
'x,y,z'
'-x,-y,-z'
'-x,y+1/2,-z+1/2'
'x,-y+1/2,z+1/2'
loop_
_atom_site_label
_atom_site_fract_x
_atom_site_fract_y
_atom_site_fract_z
Nd1 0.0000 0.0000 0.0000
Sn1 0.5000 0.0000 0.5000
S1 0.1580 0.1626 0.3583
S2 0.3107 0.7113 0.2564

# Nd2SnS4 PBE relaxed
# Magnetic moment: 0.0 μB per formula unit
# Energy relative to the elements, uncorrected: -9.9 eV/f.u.
# Calculated volume: 32.85 A^3/atom
data_Nd2SnS4
_cell_length_a 7.5429
_cell_length_b 7.1683
_cell_length_c 8.7301
_cell_angle_alpha 90.00
_cell_angle_beta 103.05
_cell_angle_gamma 90.00
_space_group_name_H-M_alt 'P 1 21/m 1'
_space_group_IT_number 11
loop_
_space_group_symop_operation_xyz
'x,y,z'
'-x,-y,-z'
'-x,y+1/2,-z'
'x,-y+1/2,z'
loop_
_atom_site_label
_atom_site_fract_x
_atom_site_fract_y
_atom_site_fract_z
Nd1 0.0343 0.2500 0.1299
Nd2 0.4655 0.7500 0.8645
Sn1 0.1643 0.2500 0.5805
S1 0.1438 0.7500 0.6145
S2 0.2506 0.0046 0.9902
S3 0.3438 0.2500 0.3738

# NdSnS3 PBE relaxed
# DOS(E_F): 5.4 states/eV/cell
# Magnetic moment: 0.0 μB per formula unit
# Energy relative to the elements, uncorrected: -5.7 eV/f.u.
# Calculated volume: 22.90 A^3/atom
# Excess energy over the best structure of this formula in the dataset: 0.000 eV/atom
data_NdSnS3
_cell_length_a 7.9940
_cell_length_b 3.9610
_cell_length_c 14.4644
_cell_angle_alpha 90.00
_cell_angle_beta 90.00
_cell_angle_gamma 90.00
_space_group_name_H-M_alt 'P n m a'
_space_group_IT_number 62
loop_
_space_group_symop_operation_xyz
'x,y,z'
'-x,-y,-z'
'-x+1/2,-y,z+1/2'
'x+1/2,y,-z+1/2'
'x+1/2,-y+1/2,-z+1/2'
'-x+1/2,y+1/2,z+1/2'
'-x,y+1/2,-z'
'x,-y+1/2,z'
loop_
_atom_site_label
_atom_site_fract_x
_atom_site_fract_y
_atom_site_fract_z
Nd1 0.1447 0.2500 0.1928
Sn1 0.1855 0.7500 0.4497
S1 0.0034 0.7500 0.6216
S2 0.1468 0.2500 0.7924
S3 0.1548 0.7500 0.0462

# NdSnTe2S PBE relaxed
# DOS(E_F): 5.5 states/eV/cell
# Magnetic moment: 0.0 μB per formula unit
# Energy relative to the elements, uncorrected: -4.7 eV/f.u.
# Calculated volume: 29.28 A^3/atom
data_NdSnTe2S
_cell_length_a 4.4403
_cell_length_b 4.4403
_cell_length_c 14.8521
_cell_angle_alpha 90.00
_cell_angle_beta 90.00
_cell_angle_gamma 90.00
_space_group_name_H-M_alt 'P 4/n m m'
_space_group_IT_number 129
loop_
_space_group_symop_operation_xyz
'x,y,z'
'-x,-y,-z'
'-y+1/2,x,z'
'y+1/2,-x,-z'
'-x+1/2,-y+1/2,z'
'x+1/2,y+1/2,-z'
'y,-x+1/2,z'
'-y,x+1/2,-z'
'x+1/2,-y,-z'
'-x+1/2,y,z'
'-y,-x,-z'
'y,x,z'
'-x,y+1/2,-z'
'x,-y+1/2,z'
'y+1/2,x+1/2,-z'
'-y+1/2,-x+1/2,z'
loop_
_atom_site_label
_atom_site_fract_x
_atom_site_fract_y
_atom_site_fract_z
Nd1 0.2500 0.2500 0.1223
Sn1 0.2500 0.2500 0.5988
Te1 0.2500 0.2500 0.3790
Te2 0.2500 0.2500 0.7969
S1 0.2500 0.7500 0.0000

# Nd8SnTe4S3 PBE relaxed
# DOS(E_F): 18.5 states/eV/cell
# Magnetic moment: 0.0 μB per formula unit
# Energy relative to the elements, uncorrected: -25.1 eV/f.u.
# Calculated volume: 29.18 A^3/atom
data_Nd8SnTe4S3
_cell_length_a 8.5964
_cell_length_b 8.5964
_cell_length_c 21.8847
_cell_angle_alpha 90.00
_cell_angle_beta 90.00
_cell_angle_gamma 120.00
_space_group_name_H-M_alt 'R -3 m'
_space_group_IT_number 166
_space_group_name_Hall '-R 3 2"'
loop_
_atom_site_label
_atom_site_fract_x
_atom_site_fract_y
_atom_site_fract_z
Nd1 0.0000 0.0000 0.2361
Nd2 0.0136 0.5068 0.7602
Sn1 0.0000 0.0000 0.5000
Te1 0.0000 0.0000 0.0000
Te2 0.0000 0.5000 0.0000
S1 0.0000 0.5000 0.5000

# Nd4SnTeS2 PBE relaxed
# DOS(E_F): 14.6 states/eV/cell
# Magnetic moment: 0.0 μB per formula unit
# Energy relative to the elements, uncorrected: -12.3 eV/f.u.
# Calculated volume: 28.13 A^3/atom
data_Nd4SnTeS2
_cell_length_a 8.5362
_cell_length_b 8.6633
_cell_length_c 12.1708
_cell_angle_alpha 90.00
_cell_angle_beta 90.00
_cell_angle_gamma 90.00
_space_group_name_H-M_alt 'I m m a'
_space_group_IT_number 74
_space_group_name_Hall '-I 2b 2'
loop_
_atom_site_label
_atom_site_fract_x
_atom_site_fract_y
_atom_site_fract_z
Nd1 0.0000 0.0241 0.2431
Nd2 0.2352 0.2500 0.0107
Sn1 0.0000 0.0000 0.5000
Te1 0.2500 0.2500 0.7500
S1 0.0000 0.0000 0.0000
S2 0.2500 0.2500 0.2500

# Nd6Sn2Te3S PBE relaxed
# DOS(E_F): 10.0 states/eV/cell
# Magnetic moment: 0.0 μB per formula unit
# Energy relative to the elements, uncorrected: -15.8 eV/f.u.
# Calculated volume: 31.28 A^3/atom
data_Nd6Sn2Te3S
_cell_length_a 19.4963
_cell_length_b 4.4387
_cell_length_c 8.9557
_cell_angle_alpha 90.00
_cell_angle_beta 104.35
_cell_angle_gamma 90.00
_space_group_name_H-M_alt 'C 1 2/m 1'
_space_group_IT_number 12
loop_
_space_group_symop_operation_xyz
'x,y,z'
'-x,-y,-z'
'-x,y,-z'
'x,-y,z'
'x+1/2,y+1/2,z'
'-x+1/2,-y+1/2,-z'
'-x+1/2,y+1/2,-z'
'x+1/2,-y+1/2,z'
loop_
_atom_site_label
_atom_site_fract_x
_atom_site_fract_y
_atom_site_fract_z
Nd1 0.0016 0.0000 0.2266
Nd2 0.1568 0.5000 0.0832
Nd3 0.1680 0.5000 0.5770
Sn1 0.1653 0.0000 0.3298
Te1 0.0000 0.5000 0.5000
Te2 0.1688 0.0000 0.8347
S1 0.0000 0.5000 0.0000

# Nd6SnTe3S2 PBE relaxed
# DOS(E_F): 7.4 states/eV/cell
# Magnetic moment: 0.0 μB per formula unit
# Energy relative to the elements, uncorrected: -18.2 eV/f.u.
# Calculated volume: 29.56 A^3/atom
data_Nd6SnTe3S2
_cell_length_a 19.2311
_cell_length_b 4.3265
_cell_length_c 8.8322
_cell_angle_alpha 90.00
_cell_angle_beta 105.10
_cell_angle_gamma 90.00
_space_group_name_H-M_alt 'C 1 2/m 1'
_space_group_IT_number 12
loop_
_space_group_symop_operation_xyz
'x,y,z'
'-x,-y,-z'
'-x,y,-z'
'x,-y,z'
'x+1/2,y+1/2,z'
'-x+1/2,-y+1/2,-z'
'-x+1/2,y+1/2,-z'
'x+1/2,-y+1/2,z'
loop_
_atom_site_label
_atom_site_fract_x
_atom_site_fract_y
_atom_site_fract_z
Nd1 0.0128 0.0000 0.2521
Nd2 0.1675 0.5000 0.1121
Nd3 0.1768 0.5000 0.5624
Sn1 0.0000 0.5000 0.0000
Te1 0.0000 0.5000 0.5000
Te2 0.1626 0.0000 0.8303
S1 0.1687 0.0000 0.3355

# Nd2Tl3SnS6 PBE relaxed
# DOS(E_F): 8.8 states/eV/cell
# Magnetic moment: 0.0 μB per formula unit
# Energy relative to the elements, uncorrected: -12.9 eV/f.u.
# Calculated volume: 27.57 A^3/atom
data_Nd2Tl3SnS6
_cell_length_a 7.1629
_cell_length_b 12.4074
_cell_length_c 7.8160
_cell_angle_alpha 90.00
_cell_angle_beta 107.73
_cell_angle_gamma 90.00
_space_group_name_H-M_alt 'C 1 2/m 1'
_space_group_IT_number 12
loop_
_space_group_symop_operation_xyz
'x,y,z'
'-x,-y,-z'
'-x,y,-z'
'x,-y,z'
'x+1/2,y+1/2,z'
'-x+1/2,-y+1/2,-z'
'-x+1/2,y+1/2,-z'
'x+1/2,-y+1/2,z'
loop_
_atom_site_label
_atom_site_fract_x
_atom_site_fract_y
_atom_site_fract_z
Nd1 0.0000 0.1663 0.0000
Tl1 0.0000 0.0000 0.5000
Tl2 0.0000 0.3290 0.5000
Sn1 0.0000 0.5000 0.0000
S1 0.2279 0.3386 0.2010
S2 0.2457 0.0000 0.2058

# NdTl2SnS4 PBE relaxed
# DOS(E_F): 3.7 states/eV/cell
# Magnetic moment: 0.0 μB per formula unit
# Energy relative to the elements, uncorrected: -7.1 eV/f.u.
# Calculated volume: 27.18 A^3/atom
data_NdTl2SnS4
_cell_length_a 7.1653
_cell_length_b 4.0676
_cell_length_c 7.8259
_cell_angle_alpha 90.00
_cell_angle_beta 107.56
_cell_angle_gamma 90.00
_space_group_name_H-M_alt 'P 1 2/m 1'
_space_group_IT_number 10
loop_
_space_group_symop_operation_xyz
'x,y,z'
'-x,-y,-z'
'-x,y,-z'
'x,-y,z'
loop_
_atom_site_label
_atom_site_fract_x
_atom_site_fract_y
_atom_site_fract_z
Nd1 0.0000 0.0000 0.0000
Tl1 0.0000 0.5000 0.5000
Tl2 0.5000 0.0000 0.5000
Sn1 0.5000 0.5000 0.0000
S1 0.2439 0.5000 0.2023
S2 0.2722 0.0000 0.7975

# Sr2Nd2S5 PBE relaxed
# DOS(E_F): 0.0 states/eV/cell
# Magnetic moment: 0.0 μB per formula unit
# Energy relative to the elements, uncorrected: -18.7 eV/f.u.
# Calculated volume: 24.86 A^3/atom
data_Sr2Nd2S5
_cell_length_a 14.5738
_cell_length_b 7.8185
_cell_length_c 7.8536
_cell_angle_alpha 90.00
_cell_angle_beta 90.00
_cell_angle_gamma 90.00
_space_group_name_H-M_alt 'C m c e'
_space_group_IT_number 64
_space_group_name_Hall '-C 2ac 2'
loop_
_atom_site_label
_atom_site_fract_x
_atom_site_fract_y
_atom_site_fract_z
Sr1 0.1993 0.0000 0.0000
Nd1 0.0000 0.1606 0.3387
S1 0.0000 0.0000 0.0000
S2 0.1300 0.1526 0.6502

# SrNd3S4 PBE relaxed
# DOS(E_F): 3.7 states/eV/cell
# Magnetic moment: 0.0 μB per formula unit
# Energy relative to the elements, uncorrected: -16.2 eV/f.u.
# Calculated volume: 24.51 A^3/atom
data_SrNd3S4
_cell_length_a 5.8033
_cell_length_b 5.8033
_cell_length_c 11.6454
_cell_angle_alpha 90.00
_cell_angle_beta 90.00
_cell_angle_gamma 90.00
_space_group_name_H-M_alt 'I 4/m m m'
_space_group_IT_number 139
_space_group_name_Hall '-I 4 2'
loop_
_atom_site_label
_atom_site_fract_x
_atom_site_fract_y
_atom_site_fract_z
Sr1 0.0000 0.0000 0.0000
Nd1 0.0000 0.0000 0.5000
Nd2 0.0000 0.5000 0.2500
S1 0.0000 0.0000 0.2504
S2 0.0000 0.5000 0.0000